CaTmMg | PBE | optimized geometry

Output
DOS at the Fermi energy	6.9	states/eV/cell
symmetry	No. 129
calculated total energy	-2.618	eV/atom
crystal system	tetragonal
total magnetic moment	0.9	μB/cell
energy above the lowest structure with this stoichiometry	0.100	eV per atom

Geometry as CIF:
```
data_CaTmMg
_chemical_formula_sum 'Ca2 Tm2 Mg2'
_symmetry_space_group_name_H-M 'P 1'
_symmetry_Int_Tables_number 1
_symmetry_space_group_name_Hall 'P 1'
_cell_length_a 3.757
_cell_length_b 3.757
_cell_length_c 13.451
_cell_angle_alpha 90.00
_cell_angle_beta 90.00
_cell_angle_gamma 90.00
loop_
_atom_site_label
_atom_site_type_symbol
_atom_site_fract_x
_atom_site_fract_y
_atom_site_fract_z
Tm1 Tm 0.500 0.000 0.702
Tm2 Tm 0.000 0.500 0.298
Ca1 Ca 0.500 0.000 0.109
Ca2 Ca 0.000 0.500 0.891
Mg1 Mg 0.500 0.000 0.440
Mg2 Mg 0.000 0.500 0.560
```